DFT (PBE) results for a relaxed structure of TbCdAg4.

Calculated formation energy, eV/atom: -0.19
Total magnetization, μB/f.u.: 0.00

The structure in CIF format:
```
data_TbCdAg4
_space_group_name_H-M_alt 'F -4 3 m'
_space_group_IT_number 216
_space_group_name_Hall 'F -4 2 3'
_cell_length_a 7.8941
_cell_length_b 7.8941
_cell_length_c 7.8941
_cell_angle_alpha 90.00
_cell_angle_beta 90.00
_cell_angle_gamma 90.00
loop_
_atom_site_label
_atom_site_type_symbol
_atom_site_fract_x
_atom_site_fract_y
_atom_site_fract_z
Tb1 Tb 0.0000 0.0000 0.0000
Cd1 Cd 0.2500 0.2500 0.7500
Ag1 Ag 0.1248 0.1248 0.3752
```